[1]
TiCuHgF2, PBEsol geometry, DFT meta-GGA SCAN; symmetry = P4/mmm, No. 123
1.0
4.3818 0.0000 0.0000
0.0000 4.3818 0.0000
0.0000 0.0000 5.0242
Ti Cu Hg F
1 1 1 2
direct
0.0000 0.0000 0.0000
0.5000 0.5000 0.0000
0.5000 0.5000 0.5000
0.0000 0.5000 0.5000
0.5000 0.0000 0.5000

=====

[2]
CuIF2, PBEsol geometry, DFT meta-GGA SCAN; symmetry = R-3m, No. 166
1.0
1.5919 0.9191 8.7944
-1.5919 0.9191 8.7944
0.0000 -1.8382 8.7944
Cu I F
1 1 2
direct
0.0000 0.0000 0.0000
0.5000 0.5000 0.5000
0.3676 0.3676 0.3676
0.6324 0.6324 0.6324

=====

[3]
LiCuIF2, PBEsol geometry, DFT meta-GGA SCAN; symmetry = P4/mmm, No. 123
1.0
5.0881 0.0000 0.0000
0.0000 5.0881 0.0000
0.0000 0.0000 4.5942
Li Cu I F
1 1 1 2
direct
0.0000 0.0000 0.0000
0.5000 0.5000 0.0000
0.5000 0.5000 0.5000
0.0000 0.5000 0.5000
0.5000 0.0000 0.5000

=====

Formation energy without anion corrections for the records above, in order: -0.71; -4.34; -2.45 eV per formula unit